This record from Alexandria via LeMat-Bulk describes crystalline KNaTlPt at its relaxed geometry. The functional is PBE.

Cell lengths 7.3662, 7.3662, 7.3662 Å; angles 90.00, 90.00, 90.00 degrees
Last column: nearest neighbours and their distance in Å.
Space group F-43m (No. 216)
One atom of each set of equivalent atoms:
K 0.0000 0.0000 0.0000 [4 per cell]  4 Tl 3.19, 4 Na 3.19
Na 0.2500 0.2500 0.2500 [4 per cell]  4 K 3.19, 4 Pt 3.19
Tl 0.2500 0.2500 0.7500 [4 per cell]  4 K 3.19, 4 Pt 3.19
Pt 0.0000 0.0000 0.5000 [4 per cell]  4 Tl 3.19, 4 Na 3.19

For the spin magnetization, the calculation gives 0.00 μB/f.u. The formation energy comes out at -10 meV/atom. For the energy above the lowest structure with this stoichiometry, the calculation gives 125 meV/atom.

This record from Alexandria via LeMat-Bulk describes crystalline Ba2Sb5Pd3 at its relaxed geometry. The functional is PBE.

Cell lengths 10.9855, 13.8097, 7.0339 Å; angles 90.00, 90.00, 90.00 degrees
Last column: nearest neighbours and their distance in Å.
Space group Ibam (No. 72)
One atom of each set of equivalent atoms:
Ba 0.2474 0.1289 0.0000 [8 per cell]  9 Sb 3.44-3.74, 5 Pd 3.68-3.82
Sb 0.0000 0.0000 0.2500 [4 per cell]  4 Pd 2.79
Sb 0.0000 0.2516 0.2500 [8 per cell]  2 Pd 2.74
Sb 0.1422 0.3961 0.0000 [8 per cell]  3 Pd 2.72-2.76
Pd 0.0000 0.5000 0.2500 [4 per cell]  4 Sb 2.76
Pd 0.1126 0.1289 0.5000 [8 per cell]  5 Sb 2.72-2.79

For the spin magnetization, the calculation gives 0.00 μB/f.u. The calculation puts the uncorrected formation energy at -0.69 eV/atom.

This record from Alexandria via LeMat-Bulk describes crystalline Cs2LiAlF at its relaxed geometry. The functional is PBE.

Cell lengths 6.2870, 6.2870, 4.7426 Å; angles 90.00, 90.00, 90.00 degrees
Last column: nearest neighbours and their distance in Å.
Space group P4/mmm (No. 123)
One atom of each set of equivalent atoms:
Cs 0.0000 0.5000 0.0000 [2 per cell]  2 F 3.14
Li 0.0000 0.0000 0.5000 [1 per cell]  8 Cs 3.94
Al 0.5000 0.5000 0.5000 [1 per cell]  2 F 2.37
F 0.5000 0.5000 0.0000 [1 per cell]  2 Al 2.37

For the spin magnetization, the calculation gives 0.66 μB/f.u. The calculation puts the uncorrected formation energy at -0.57 eV/atom.

This record from Alexandria via LeMat-Bulk describes crystalline Pu4TlBi5 at its relaxed geometry. The functional is PBE.

Cell lengths 3.5533, 3.5533, 23.4931 Å; angles 90.00, 90.00, 90.00 degrees
Last column: nearest neighbours and their distance in Å.
Space group P4/mmm (No. 123)
One atom of each set of equivalent atoms:
Pu 0.0000 0.0000 0.0959 [2 per cell]  8 Bi 3.37, 4 Pu 3.55
Pu 0.0000 0.0000 0.2884 [2 per cell]  8 Bi 3.39-3.41, 4 Pu 3.55
Tl 0.0000 0.0000 0.5000 [1 per cell]  4 Tl 3.55, 8 Bi 3.66
Bi 0.5000 0.5000 0.0000 [1 per cell]  8 Pu 3.37, 4 Bi 3.55
Bi 0.5000 0.5000 0.1917 [2 per cell]  8 Pu 3.37-3.39, 4 Bi 3.55
Bi 0.5000 0.5000 0.3867 [2 per cell]  4 Pu 3.41, 4 Bi 3.55, 4 Tl 3.66

For the spin magnetization, the calculation gives 23.96 μB/f.u. The formation energy comes out at -282 meV/atom.

This record from Alexandria via LeMat-Bulk describes crystalline Y5ScTl4 at its relaxed geometry. The functional is PBE.

Cell lengths 3.7713, 3.7713, 19.5041 Å; angles 90.00, 90.00, 90.00 degrees
Last column: nearest neighbours and their distance in Å.
Space group P4/mmm (No. 123)
One atom of each set of equivalent atoms:
Y 0.0000 0.0000 0.0000 [1 per cell]  8 Tl 3.29
Y 0.0000 0.0000 0.1981 [2 per cell]  8 Tl 3.29-3.31
Y 0.0000 0.0000 0.3972 [2 per cell]  4 Tl 3.28, 4 Sc 3.34
Sc 0.5000 0.5000 0.5000 [1 per cell]  8 Y 3.34
Tl 0.5000 0.5000 0.0991 [2 per cell]  8 Y 3.29
Tl 0.5000 0.5000 0.2990 [2 per cell]  8 Y 3.28-3.31

For the spin magnetization, the calculation gives 0.00 μB/f.u. The formation energy comes out at -294 meV/atom.

This record from Alexandria via LeMat-Bulk describes crystalline YRe2Cl at its relaxed geometry. The functional is PBE.

Cell lengths 6.6238, 6.6238, 6.6238 Å; angles 90.00, 90.00, 90.00 degrees
Last column: nearest neighbours and their distance in Å.
Space group Fm-3m (No. 225)
One atom of each set of equivalent atoms:
Y 0.0000 0.0000 0.0000 [4 per cell]  8 Re 2.87
Re 0.2500 0.2500 0.2500 [8 per cell]  4 Cl 2.87, 4 Y 2.87
Cl 0.0000 0.0000 0.5000 [4 per cell]  8 Re 2.87

For the spin magnetization, the calculation gives 0.00 μB/f.u. For the energy above the lowest structure with this stoichiometry, the calculation gives 1686 meV/atom. The calculation puts the uncorrected formation energy at 1.49 eV/atom.

This record from Alexandria via LeMat-Bulk describes crystalline Na2LaNiSn at its relaxed geometry. The functional is PBE.

Cell lengths 5.2003, 5.2003, 5.2784 Å; angles 90.00, 90.00, 90.00 degrees
Last column: nearest neighbours and their distance in Å.
Space group P4/mmm (No. 123)
One atom of each set of equivalent atoms:
Na 0.0000 0.5000 0.0000 [2 per cell]  2 Ni 2.60
La 0.0000 0.0000 0.5000 [1 per cell]  2 Ni 2.64
Ni 0.0000 0.0000 0.0000 [1 per cell]  4 Na 2.60, 2 La 2.64
Sn 0.5000 0.5000 0.5000 [1 per cell]  4 La 3.68, 8 Na 3.70

For the spin magnetization, the calculation gives 0.00 μB/f.u. The formation energy comes out at 89 meV/atom.

This record from Alexandria via LeMat-Bulk describes crystalline Pu2MgPb9 at its relaxed geometry. The functional is PBE.

Cell lengths 5.5538, 5.5538, 11.4902 Å; angles 90.00, 90.00, 90.00 degrees
Last column: nearest neighbours and their distance in Å.
Space group P4/mmm (No. 123)
One atom of each set of equivalent atoms:
Pu 0.0000 0.0000 0.1675 [2 per cell]  8 Pb 3.38-3.44
Mg 0.0000 0.0000 0.5000 [1 per cell]  8 Pb 3.31
Pb 0.0000 0.5000 0.0000 [2 per cell]  4 Pu 3.38, 4 Pb 3.42
Pb 0.0000 0.5000 0.3437 [4 per cell]  5 Pb 3.31-3.59, 2 Mg 3.31, 2 Pu 3.44
Pb 0.5000 0.5000 0.1739 [2 per cell]  9 Pb 3.39-3.75
Pb 0.5000 0.5000 0.5000 [1 per cell]  8 Pb 3.31

For the spin magnetization, the calculation gives 11.53 μB/f.u. The formation energy comes out at -14 meV/atom.

This record from Alexandria via LeMat-Bulk describes crystalline LiTm3Pt4 at its relaxed geometry. The functional is PBE.

Cell lengths 3.3891, 3.3891, 13.1143 Å; angles 90.00, 90.00, 90.00 degrees
Last column: nearest neighbours and their distance in Å.
Space group P4/mmm (No. 123)
One atom of each set of equivalent atoms:
Li 0.0000 0.0000 0.0000 [1 per cell]  8 Pt 2.78, 2 Tm 2.99
Tm 0.0000 0.0000 0.2279 [2 per cell]  8 Pt 2.87-3.01, 1 Li 2.99
Tm 0.0000 0.0000 0.5000 [1 per cell]  8 Pt 2.97
Pt 0.5000 0.5000 0.1069 [2 per cell]  4 Li 2.78, 1 Pt 2.80, 4 Tm 2.87
Pt 0.5000 0.5000 0.3663 [2 per cell]  8 Tm 2.97-3.01

For the spin magnetization, the calculation gives 0.00 μB/f.u. The formation energy comes out at -1154 meV/atom.

This record from Alexandria via LeMat-Bulk describes crystalline CrCuTc2 at its relaxed geometry. The functional is PBE.

Cell lengths 2.5939, 3.9515, 5.2767 Å; angles 90.00, 98.35, 90.00 degrees
Last column: nearest neighbours and their distance in Å.
Space group P2/m (No. 10)
One atom of each set of equivalent atoms:
Cr 0.0000 0.0000 0.0000 [1 per cell]  4 Tc 2.52, 2 Cr 2.59, 2 Cu 2.64
Cu 0.0000 0.0000 0.5000 [1 per cell]  2 Cu 2.59, 2 Cr 2.64, 8 Tc 2.69-2.72
Tc 0.4168 0.5000 0.2477 [2 per cell]  2 Cr 2.52, 4 Tc 2.59-2.71, 4 Cu 2.69-2.72

For the spin magnetization, the calculation gives 0.00 μB/f.u. The formation energy comes out at 216 meV/atom. For the energy above the lowest structure with this stoichiometry, the calculation gives 20 meV/atom.

This record from Alexandria via LeMat-Bulk describes crystalline MgZrZn2 at its relaxed geometry. The functional is PBE.

Cell lengths 3.0960, 4.7536, 10.0854 Å; angles 90.00, 90.00, 90.00 degrees
Last column: nearest neighbours and their distance in Å.
Space group Imm2 (No. 44)
One atom of each set of equivalent atoms:
Mg 0.0000 0.0000 0.0000 [2 per cell]  6 Zn 2.85-3.05, 2 Mg 3.10
Zr 0.0000 0.5000 0.2216 [2 per cell]  6 Zn 2.86-2.97, 2 Zr 3.10, 2 Mg 3.21
Zn 0.0000 0.0000 0.4708 [2 per cell]  2 Zn 2.62, 4 Mg 2.85
Zn 0.0000 0.5000 0.7608 [2 per cell]  2 Zn 2.62, 4 Zr 2.86

For the spin magnetization, the calculation gives 0.00 μB/f.u. The formation energy comes out at -73 meV/atom.